PuMgGa4Pd2 | PBE-GGA | relaxed

Summary:
M_tot (μB/atom): 0.685
E_tot (eV/atom): -5.2364
Symmetry: R-3m (166)

Lattice parameters (Å, degrees): 4.382 4.382 9.177 76.19 76.19 60.00
Last column: magnetic moment on the atom in μB.
Atoms (fractional coordinates):
Ga1 0.394 0.394 0.819  0.00
Ga2 0.606 0.606 0.181  0.00
Ga3 0.881 0.881 0.356  -0.01
Ga4 0.119 0.119 0.644  -0.01
Mg1 0.500 0.500 0.500  0.00
Pu1 0.000 0.000 0.000  5.28
Pd1 0.228 0.228 0.315  -0.01
Pd2 0.772 0.772 0.685  -0.01